VASP calculation (PBE-GGA) on a relaxed BeZn2Ru crystal.

```
BeZn2Ru
1.0
-0.2386 -1.8283 -1.9795
-1.0254 -2.5878 2.5138
-4.8909 1.3234 -0.6327
Zn Ru Be
2 1 1
direct
0.0000 0.0000 0.4950
0.0000 0.0000 0.0050
0.5000 0.5000 0.7500
0.5000 0.5000 0.2500
```

Fermi-level density of states, states/eV per cell: 3.00
E, eV per cell: -15.106